First-principles (PBE) data for crystalline Zn2CrFeSn at its relaxed geometry, as listed in Alexandria.

Cell: 4.750 4.750 4.970 Å, 90.00 90.00 90.00°
Atoms (fractional coordinates):
1 Zn 0.000 0.500 0.000
2 Zn 0.500 0.000 0.000
3 Cr 0.000 0.000 0.000
4 Fe 0.500 0.500 0.500
5 Sn 0.000 0.000 0.500

Summary:
Energy (eV/atom): -3.89
ΔH_f (0 K) (eV per atom): 1.034



First-principles (PBE) data for crystalline Zr2CrFeSn at its relaxed geometry, as listed in Alexandria.

Cell: 4.891 4.891 4.184 Å, 90.00 90.00 90.00°
Atoms (fractional coordinates):
1 Zr 0.000 0.500 0.000
2 Zr 0.500 0.000 0.000
3 Cr 0.000 0.000 0.500
4 Fe 0.000 0.000 0.000
5 Sn 0.500 0.500 0.500

Summary:
Energy (eV/atom): -7.60
ΔH_f (0 K) (eV per atom): 0.233



First-principles (PBE) data for crystalline SrCr2Fe at its relaxed geometry, as listed in Alexandria.

Cell: 6.167 6.167 6.167 Å, 37.92 37.92 37.92°
Atoms (fractional coordinates):
1 Sr 0.000 0.000 0.000
2 Cr 0.192 0.192 0.192
3 Cr 0.808 0.808 0.808
4 Fe 0.500 0.500 0.500

Summary:
Energy (eV/atom): -6.72
ΔH_f (0 K) (eV per atom): 0.630



First-principles (PBE) data for crystalline SrCrFe at its relaxed geometry, as listed in Alexandria.

Cell: 6.239 6.239 6.239 Å, 149.38 149.38 43.85°
Atoms (fractional coordinates):
1 Sr 0.000 0.000 0.000
2 Cr 0.726 0.726 0.000
3 Fe 0.285 0.285 0.000

Summary:
Energy (eV/atom): -5.93
ΔH_f (0 K) (eV per atom): 0.656



First-principles (PBE) data for crystalline SrCrFe2 at its relaxed geometry, as listed in Alexandria.

Cell: 3.162 3.162 7.346 Å, 90.00 90.00 90.00°
Atoms (fractional coordinates):
1 Sr 0.000 0.000 0.000
2 Cr 0.500 0.500 0.359
3 Fe 0.000 0.000 0.512
4 Fe 0.500 0.500 0.671

Summary:
Energy (eV/atom): -6.43
ΔH_f (0 K) (eV per atom): 0.630



First-principles (PBE) data for crystalline SrCrFe at its relaxed geometry, as listed in Alexandria.

Cell: 4.708 4.708 4.708 Å, 60.00 60.00 60.00°
Atoms (fractional coordinates):
1 Sr 0.000 0.000 0.000
2 Cr 0.500 0.500 0.500
3 Fe 0.750 0.750 0.750

Summary:
Energy (eV/atom): -5.54
ΔH_f (0 K) (eV per atom): 1.047